Compound: MnSnPb2O5
Source: the Alexandria database
Functional: GGA+U
Structure: relaxed

extended XYZ file:
```
18
Lattice="1.6618 -6.7466 0.0000 1.6618 6.7466 0.0000 0.0000 0.0000 12.8216" Properties=species:S:1:pos:R:3 pbc="T T T"
Mn 1.6618 6.6767 6.4108
Mn 1.6618 -6.6767 0.0000
Sn 1.6618 2.7318 1.0296
Sn 1.6618 -2.7318 7.4404
Pb 1.6618 2.4701 4.7383
Pb 1.6618 0.7953 9.5451
Pb 1.6618 -0.7953 3.1343
Pb 1.6618 -2.4701 11.1491
O 1.6618 6.4505 10.7272
O 1.6618 4.6171 0.0346
O 1.6618 4.4899 6.0784
O 1.6618 3.6238 8.6756
O 1.6618 0.5905 1.2424
O 1.6618 -0.5905 7.6532
O 1.6618 -3.6238 2.2649
O 1.6618 -4.4899 12.4892
O 1.6618 -4.6171 6.4453
O 1.6618 -6.4505 4.3164
```

Results
As for the crystal system: orthorhombic. The space-group type is Cmc2_1, No. 36. Its energy is -6.1795 eV per atom. For the size of the total moment, the calculation gives 5.000 μB per formula unit.